6
Lattice="4.072 0.000 0.000 0.000 4.072 0.000 0.000 0.000 6.450" Properties=species:S:1:pos:R:3 comment="GdHoSi2Ni2 (PBE-GGA, optimized geometry)" m_tot_mub_per_atom=0.0109 mass_density_g_cm3=7.7 pbc="T T T"
Gd 0.000 0.000 0.000
Ho 2.036 2.036 2.348
Si 0.000 0.000 3.130
Si 2.036 2.036 5.606
Ni 0.000 2.036 4.368
Ni 2.036 0.000 4.368

11
Lattice="-2.182 3.513 7.098 2.182 -3.513 7.098 2.182 3.513 -7.098" Properties=species:S:1:pos:R:3 comment="GdHo2Ni4Sn4 (PBE-GGA, optimized geometry)" m_tot_mub_per_atom=0.0015 mass_density_g_cm3=9.1 pbc="T T T"
Gd 0.000 0.000 0.000
Ho 2.182 0.000 5.231
Ho 0.000 3.513 1.867
Ni 2.182 1.353 -2.534
Ni 2.182 1.353 2.534
Ni 0.000 2.160 4.564
Ni 0.000 2.160 9.632
Sn 0.000 0.000 3.075
Sn 2.182 2.085 0.000
Sn 0.000 1.428 7.098
Sn 0.000 0.000 11.121

5
Lattice="3.651 0.000 0.000 0.000 2.005 6.958 0.000 -2.005 6.958" Properties=species:S:1:pos:R:3 comment="GdHoNi2Sn (PBE-GGA, optimized geometry)" m_tot_mub_per_atom=0.0004 mass_density_g_cm3=9.1 pbc="T T T"
Gd 0.000 0.000 0.000
Ho 0.000 0.000 10.123
Ni 1.825 0.000 2.319
Ni 1.825 0.000 7.826
Sn 1.825 0.000 5.046

no.,uncorrected energy (eV/cell)
1,-35.9
2,-58.3
3,-27.4